No. 1
## BeNbCuPt (GGA-PBE)

Data for crystalline BeNbCuPt at its relaxed geometry.

Unit cell a=4.223 b=4.223 c=4.223 alpha=60.00 beta=60.00 gamma=60.00
Positions (direct):
Cu 0.750 0.750 0.750
Nb 0.000 0.000 0.000
Be 0.250 0.250 0.250
Pt 0.500 0.500 0.500

Values from the calculation:
DFT total energy = -6.130 eV/atom
Magnetization = 0.02 μB per atom
Symmetry = F-43m, No. 216

---

No. 2
## BeNbCuPt (GGA-PBE)

Data for crystalline BeNbCuPt at its relaxed geometry.

Unit cell a=4.298 b=4.298 c=4.298 alpha=60.00 beta=60.00 gamma=60.00
Positions (direct):
Cu 0.750 0.750 0.750
Be 0.500 0.500 0.500
Pt 0.250 0.250 0.250
Nb 0.000 0.000 0.000

Values from the calculation:
DFT total energy = -6.144 eV/atom
Magnetization = 0.00 μB per atom
Symmetry = F-43m, No. 216

---

No. 3
## BeNbCuPt (GGA-PBE)

Data for crystalline BeNbCuPt at its relaxed geometry.

Unit cell a=4.285 b=4.285 c=4.285 alpha=60.00 beta=60.00 gamma=60.00
Positions (direct):
Cu 0.500 0.500 0.500
Pt 0.250 0.250 0.250
Be 0.750 0.750 0.750
Nb 0.000 0.000 0.000

Values from the calculation:
DFT total energy = -6.111 eV/atom
Magnetization = 0.00 μB per atom
Symmetry = F-43m, No. 216